No. 1
A relaxed structure of TbCuAsH, computed with GGA-PBE.

Unit cell a=3.9067 b=3.9067 c=7.8026 alpha=90.00 beta=90.00 gamma=90.00
Closest atoms and distances in Å follow each position.
Positions (direct):
Tb: 0.2500 0.2500 0.1658  4 H 2.34
Tb: 0.7500 0.7500 0.8342  4 H 2.34
Cu: 0.2500 0.7500 0.5000  4 As 2.51, 4 Cu 2.76
Cu: 0.7500 0.2500 0.5000  4 As 2.51, 4 Cu 2.76
As: 0.2500 0.2500 0.7015  4 Cu 2.51
As: 0.7500 0.7500 0.2985  4 Cu 2.51
H: 0.2500 0.7500 0.0000  4 Tb 2.34
H: 0.7500 0.2500 0.0000  4 Tb 2.34

Values from the calculation:
- Crystal system: tetragonal
- Calculated volume: 119.1 Å³/cell
- Calculated total energy: -39.6 eV/cell
- DOS(E_F): 0.0416 states/eV per atom



No. 2
A relaxed structure of TlCrSi, computed with GGA-PBE.

Unit cell a=5.5656 b=5.5656 c=5.5656 alpha=146.22 beta=146.22 gamma=48.53
Closest atoms and distances in Å follow each position.
Positions (direct):
Tl: 0.0000 0.0000 0.0000  1 Si 2.83, 5 Cr 2.93-3.14
Cr: 0.7113 0.7113 0.0000  4 Si 2.39
Si: 0.2790 0.2790 0.0000  4 Cr 2.39

Values from the calculation:
- Crystal system: tetragonal
- Calculated volume: 53.1 Å³/cell
- Calculated total energy: -16.2 eV/cell
- Raw formation energy: 0.40 eV per atom
- DOS(E_F): 0.4251 states/eV per atom
- ΔE to the lowest computed polymorph: 0.000 eV per atom



No. 3
A relaxed structure of K2YMg, computed with GGA-PBE.

Unit cell a=8.0403 b=8.0403 c=8.0403 alpha=153.94 beta=127.85 gamma=59.20
Closest atoms and distances in Å follow each position.
Positions (direct):
K: 0.0000 0.0000 0.0000  2 K 3.63, 2 Mg 3.82
K: 0.7177 0.2177 0.5000  2 K 3.63, 4 Mg 3.98
Y: 0.4290 0.4290 0.0000  2 Mg 3.20
Mg: 0.2408 0.7408 0.5000  2 Y 3.20

Values from the calculation:
- Crystal system: orthorhombic
- Calculated volume: 179.2 Å³/cell
- Calculated total energy: -8.6 eV/cell
- Calculated formation energy: 420 meV/atom
- DOS(E_F): 1.2365 states/eV per atom



No. 4
A relaxed structure of Nd4CdPdAu2, computed with GGA-PBE.

Unit cell a=9.1008 b=9.1008 c=9.1008 alpha=33.70 beta=33.70 gamma=33.70
Closest atoms and distances in Å follow each position.
Positions (direct):
Nd: 0.1183 0.1183 0.1183  1 Pd 3.04, 4 Au 3.12-3.15, 3 Cd 3.29
Nd: 0.3696 0.3696 0.3696  3 Pd 3.19, 4 Au 3.31-3.37, 1 Cd 3.35
Nd: 0.6304 0.6304 0.6304  3 Pd 3.19, 4 Au 3.31-3.37, 1 Cd 3.35
Nd: 0.8817 0.8817 0.8817  1 Pd 3.04, 4 Au 3.12-3.15, 3 Cd 3.29
Cd: 0.5000 0.5000 0.5000  8 Nd 3.29-3.35, 6 Au 3.59
Pd: 0.0000 0.0000 0.0000  8 Nd 3.04-3.19
Au: 0.2409 0.2409 0.2409  8 Nd 3.12-3.37
Au: 0.7591 0.7591 0.7591  8 Nd 3.12-3.37

Values from the calculation:
- Crystal system: trigonal
- Calculated volume: 206.7 Å³/cell
- Calculated total energy: -36.9 eV/cell
- Calculated formation energy: -644 meV/atom
- DOS(E_F): 0.8488 states/eV per atom



No. 5
A relaxed structure of TmB2Rh4, computed with GGA-PBE.

Unit cell a=5.4411 b=5.4411 c=5.4411 alpha=134.38 beta=120.00 gamma=78.50
Closest atoms and distances in Å follow each position.
Positions (direct):
Tm: 0.0000 0.0000 0.0000  12 Rh 2.86-3.16, 4 B 2.86
B: 0.5000 0.2108 0.7108  1 B 1.78
B: 0.5000 0.7892 0.2892  1 B 1.78
Rh: 0.0956 0.3403 0.7553  2 B 2.25
Rh: 0.4150 0.6597 0.7553  2 B 2.25
Rh: 0.5850 0.3403 0.2447  2 B 2.25
Rh: 0.9044 0.6597 0.2447  2 B 2.25

Values from the calculation:
- Crystal system: orthorhombic
- Calculated volume: 96.7 Å³/cell
- Calculated total energy: -48.7 eV/cell
- Calculated formation energy: -209 meV/atom
- DOS(E_F): 0.7519 states/eV per atom
- ΔE to the lowest computed polymorph: 0.410 eV per atom



No. 6
A relaxed structure of Na3Pb8, computed with GGA-PBE.

Unit cell a=7.4387 b=7.4387 c=7.4387 alpha=97.16 beta=97.16 gamma=97.16
Closest atoms and distances in Å follow each position.
Positions (direct):
Na: 0.0000 0.5000 0.5000  4 Pb 3.19-3.23
Na: 0.5000 0.0000 0.5000  4 Pb 3.19-3.23
Na: 0.5000 0.5000 0.0000  4 Pb 3.19-3.23
Pb: 0.0383 0.9140 0.6925  1 Na 3.19, 6 Pb 3.27-3.39
Pb: 0.0860 0.3075 0.9617  1 Na 3.19, 6 Pb 3.27-3.39
Pb: 0.3075 0.9617 0.0860  1 Na 3.19, 6 Pb 3.27-3.39
Pb: 0.3533 0.3533 0.3533  3 Na 3.23, 4 Pb 3.27-3.28
Pb: 0.6467 0.6467 0.6467  3 Na 3.23, 4 Pb 3.27-3.28
Pb: 0.6925 0.0383 0.9140  1 Na 3.19, 6 Pb 3.27-3.39
Pb: 0.9140 0.6925 0.0383  1 Na 3.19, 6 Pb 3.27-3.39
Pb: 0.9617 0.0860 0.3075  1 Na 3.19, 6 Pb 3.27-3.39

Values from the calculation:
- Crystal system: trigonal
- Calculated volume: 401.1 Å³/cell
- Calculated total energy: -32.9 eV/cell
- Calculated formation energy: 69 meV/atom
- DOS(E_F): 0.4169 states/eV per atom
- ΔE to the lowest computed polymorph: 0.180 eV per atom



No. 7
A relaxed structure of YMg6Al, computed with GGA-PBE.

Unit cell a=5.0318 b=6.6103 c=6.6103 alpha=58.32 beta=90.00 gamma=90.00
Closest atoms and distances in Å follow each position.
Positions (direct):
Y: 0.0000 0.0000 0.0000  2 Al 3.07, 10 Mg 3.22-3.39
Mg: 0.0000 0.4828 0.4828  10 Mg 3.12-3.40, 2 Y 3.23
Mg: 0.0000 0.4908 0.9930  8 Mg 3.08-3.40, 2 Al 3.16, 2 Y 3.22-3.39
Mg: 0.0000 0.9930 0.4908  8 Mg 3.08-3.40, 2 Al 3.16, 2 Y 3.22-3.39
Mg: 0.5000 0.1483 0.6437  8 Mg 3.08-3.34, 2 Y 3.23, 2 Al 3.23-3.38
Mg: 0.5000 0.6428 0.6428  10 Mg 3.12-3.34, 2 Al 3.22
Mg: 0.5000 0.6437 0.1483  8 Mg 3.08-3.34, 2 Y 3.23, 2 Al 3.23-3.38
Al: 0.5000 0.1527 0.1527  2 Y 3.07, 10 Mg 3.16-3.38

Values from the calculation:
- Crystal system: orthorhombic
- Calculated volume: 187.1 Å³/cell
- Calculated total energy: -20.0 eV/cell
- Calculated formation energy: -26 meV/atom
- DOS(E_F): 0.6532 states/eV per atom
- ΔE to the lowest computed polymorph: 0.011 eV per atom



No. 8
A relaxed structure of V2Ni9Pd, computed with GGA-PBE.

Unit cell a=3.5853 b=3.5853 c=10.7503 alpha=90.00 beta=90.00 gamma=90.00
Closest atoms and distances in Å follow each position.
Positions (direct):
V: 0.0000 0.0000 0.1702  12 Ni 2.43-2.56
V: 0.0000 0.0000 0.8298  12 Ni 2.43-2.56
Ni: 0.0000 0.5000 0.0000  8 Ni 2.49-2.54, 4 V 2.56
Ni: 0.0000 0.5000 0.3221  2 V 2.43, 8 Ni 2.50-2.62, 2 Pd 2.62
Ni: 0.0000 0.5000 0.6779  2 V 2.43, 8 Ni 2.50-2.62, 2 Pd 2.62
Ni: 0.5000 0.0000 0.0000  8 Ni 2.49-2.54, 4 V 2.56
Ni: 0.5000 0.0000 0.3221  2 V 2.43, 8 Ni 2.50-2.62, 2 Pd 2.62
Ni: 0.5000 0.0000 0.6779  2 V 2.43, 8 Ni 2.50-2.62, 2 Pd 2.62
Ni: 0.5000 0.5000 0.1606  8 Ni 2.49-2.50, 4 V 2.54
Ni: 0.5000 0.5000 0.5000  4 Pd 2.54, 8 Ni 2.62
Ni: 0.5000 0.5000 0.8394  8 Ni 2.49-2.50, 4 V 2.54
Pd: 0.0000 0.0000 0.5000  12 Ni 2.54-2.62

Values from the calculation:
- Crystal system: tetragonal
- Calculated volume: 138.2 Å³/cell
- Calculated total energy: -77.3 eV/cell
- Calculated formation energy: -153 meV/atom
- DOS(E_F): 0.7316 states/eV per atom



What did the eighth record say?
A relaxed structure of V2Ni9Pd, computed with GGA-PBE.

Unit cell a=3.5853 b=3.5853 c=10.7503 alpha=90.00 beta=90.00 gamma=90.00
Closest atoms and distances in Å follow each position.
Positions (direct):
V: 0.0000 0.0000 0.1702  12 Ni 2.43-2.56
V: 0.0000 0.0000 0.8298  12 Ni 2.43-2.56
Ni: 0.0000 0.5000 0.0000  8 Ni 2.49-2.54, 4 V 2.56
Ni: 0.0000 0.5000 0.3221  2 V 2.43, 8 Ni 2.50-2.62, 2 Pd 2.62
Ni: 0.0000 0.5000 0.6779  2 V 2.43, 8 Ni 2.50-2.62, 2 Pd 2.62
Ni: 0.5000 0.0000 0.0000  8 Ni 2.49-2.54, 4 V 2.56
Ni: 0.5000 0.0000 0.3221  2 V 2.43, 8 Ni 2.50-2.62, 2 Pd 2.62
Ni: 0.5000 0.0000 0.6779  2 V 2.43, 8 Ni 2.50-2.62, 2 Pd 2.62
Ni: 0.5000 0.5000 0.1606  8 Ni 2.49-2.50, 4 V 2.54
Ni: 0.5000 0.5000 0.5000  4 Pd 2.54, 8 Ni 2.62
Ni: 0.5000 0.5000 0.8394  8 Ni 2.49-2.50, 4 V 2.54
Pd: 0.0000 0.0000 0.5000  12 Ni 2.54-2.62

Values from the calculation:
- Crystal system: tetragonal
- Calculated volume: 138.2 Å³/cell
- Calculated total energy: -77.3 eV/cell
- Calculated formation energy: -153 meV/atom
- DOS(E_F): 0.7316 states/eV per atom



Question: Which formula does entry 4 have?
Answer: Nd4CdPdAu2



Question: Which value of calculated volume does entry 3 give?
Answer: 179.2 Å³/cell



Question: What is the calculated total energy in the second record?
Answer: -16.2 eV/cell